The following is a DFT calculation (PBE) of an optimized crystal structure of TiVFe2Pb.

## Properties
final energy: -5.54 eV per atom
formation enthalpy at 0 K: 1.9926 eV per atom
theoretical density: 6401 kg/m³
size of the total moment: 0.525 μB per atom

Lattice parameters (Å, degrees): 4.686 4.686 4.935 90.00 90.00 90.00
Space group P4/mmm (No. 123)
Asymmetric unit:
1 Ti 0.000 0.000 0.000 (multiplicity 1)
2 V 0.500 0.500 0.000 (multiplicity 1)
3 Fe 0.000 0.500 0.500 (multiplicity 2)
4 Pb 0.500 0.500 0.500 (multiplicity 1)

The following is a DFT calculation (PBE) of an optimized crystal structure of MoRuAu2.

## Properties
final energy: -5.79 eV per atom
formation enthalpy at 0 K: 0.8753 eV per atom
theoretical density: 13634 kg/m³
size of the total moment: 0.265 μB per atom
polymorph energy (0 for the lowest one): 752 meV per atom

Lattice parameters (Å, degrees): 7.414 7.414 5.238 90.00 90.00 90.00
Space group I-42d (No. 122)
Asymmetric unit:
1 Mo 0.000 0.000 0.000 (multiplicity 4)
2 Ru 0.000 0.000 0.500 (multiplicity 4)
3 Au 0.248 0.250 0.625 (multiplicity 8)

The following is a DFT calculation (PBE) of an optimized crystal structure of La2HfH.

## Properties
final energy: -5.62 eV per atom
theoretical density: 7562 kg/m³
size of the total moment: 0.000 μB per atom
polymorph energy (0 for the lowest one): 1 meV per atom

Lattice parameters (Å, degrees): 7.331 7.331 7.474 90.00 90.00 90.00
Space group I-42d (No. 122)
Asymmetric unit:
1 La 0.145 0.250 0.125 (multiplicity 8)
2 Hf 0.000 0.000 0.500 (multiplicity 4)
3 H 0.000 0.000 0.000 (multiplicity 4)

The following is a DFT calculation (PBE) of an optimized crystal structure of LiAg2Au4.

## Properties
final energy: -3.06 eV per atom
formation enthalpy at 0 K: -0.0950 eV per atom
theoretical density: 12313 kg/m³
size of the total moment: 0.000 μB per atom
polymorph energy (0 for the lowest one): 105 meV per atom

Lattice parameters (Å, degrees): 8.891 6.935 5.660 90.00 128.65 90.00
Space group C2/m (No. 12)
Asymmetric unit:
1 Li 0.000 0.000 0.000 (multiplicity 2)
2 Ag 0.000 0.500 0.000 (multiplicity 2)
3 Ag 0.000 0.500 0.500 (multiplicity 2)
4 Au 0.250 0.250 0.000 (multiplicity 4)
5 Au 0.250 0.250 0.500 (multiplicity 4)